Record 1
Computed, not measured: Rb2PaTlO4 after structural relaxation at the PBE level of DFT.

The structure in POSCAR format:
```
Rb2PaTlO4
1.0
6.759 -0.467 -0.715
-3.302 5.916 0.715
-3.302 -1.726 5.703
Rb Pa Tl O
2 1 1 4
direct
0.500 0.750 0.250
0.000 0.000 0.000
0.500 0.250 0.750
0.000 0.500 0.500
0.511 0.348 0.457
0.109 0.163 0.652
0.891 0.543 0.055
0.489 0.945 0.837
```

Results
Energy relative to the elements, uncorrected, eV/atom: -2.07

***

Record 2
Computed, not measured: Co3Tc4 after structural relaxation at the PBE level of DFT.

The structure in POSCAR format:
```
Co3Tc4
1.0
-1.542 1.542 9.661
1.542 -1.542 9.661
1.542 1.542 -9.661
Co Tc
3 4
direct
0.000 0.000 0.000
0.723 0.723 0.000
0.277 0.277 0.000
0.854 0.854 0.000
0.570 0.570 0.000
0.430 0.430 0.000
0.146 0.146 0.000
```

Results
Polymorph energy (0 for the lowest one), meV/atom: 97

***

Record 3
Computed, not measured: Sr2Mg2Au after structural relaxation at the PBE level of DFT.

The structure in POSCAR format:
```
Sr2Mg2Au
1.0
-2.261 -6.223 -2.130
6.933 1.058 0.904
-2.662 -1.426 6.990
Sr Mg Au
4 4 2
direct
0.569 0.305 0.638
0.264 0.695 0.862
0.431 0.695 0.362
0.736 0.305 0.138
0.802 0.802 0.034
0.000 0.198 0.466
0.198 0.198 0.966
0.000 0.802 0.534
0.780 0.000 0.750
0.220 0.000 0.250
```

Results
Polymorph energy (0 for the lowest one), meV/atom: 0

***

Record 4
Computed, not measured: AcBe3As4 after structural relaxation at the PBE level of DFT.

The structure in POSCAR format:
```
AcBe3As4
1.0
6.999 0.000 0.000
0.000 6.999 0.000
0.000 0.000 6.999
Be Ac As
6 2 8
direct
0.000 0.500 0.250
0.000 0.500 0.750
0.250 0.000 0.500
0.500 0.250 0.000
0.500 0.750 0.000
0.750 0.000 0.500
0.000 0.000 0.000
0.500 0.500 0.500
0.250 0.250 0.250
0.250 0.750 0.250
0.250 0.250 0.750
0.250 0.750 0.750
0.750 0.250 0.250
0.750 0.250 0.750
0.750 0.750 0.250
0.750 0.750 0.750
```

Results
Electronic total energy, eV per atom: -4.117

***

| no. | V (Å³ per atom) |
| --- | --- |
| 1 | 26.3 |
| 2 | 13.1 |
| 3 | 31.2 |
| 4 | 21.4 |